Entry 1:
A plane-wave DFT calculation with PBE was carried out for an optimized crystal structure of GePdSO.

Output
- theoretical density (g/cm³) = 6.2
- energy (eV for the cell shown) = -40.94

abc: 3.686 3.686 9.020
angles: 90.00 90.00 90.00
Space group P4/nmm (No. 129, origin choice 2)
Unique sites:
Ge 0.250 0.250 0.104 (multiplicity 2)
Pd 0.250 0.250 0.647 (multiplicity 2)
S 0.250 0.250 0.364 (multiplicity 2)
O 0.250 0.750 0.000 (multiplicity 2)

Entry 2:
A plane-wave DFT calculation with PBE was carried out for an optimized crystal structure of Hf2Zr4Si3N3.

Output
- theoretical density (g/cm³) = 7.7
- energy (eV for the cell shown) = -435.83

abc: 9.716 5.616 13.856
angles: 90.00 103.56 90.00
Space group C2/c (No. 15)
Unique sites:
Hf 0.054 0.085 0.409 (multiplicity 8)
Zr 0.116 0.419 0.598 (multiplicity 8)
Zr 0.216 0.416 0.902 (multiplicity 8)
Si 0.000 0.395 0.250 (multiplicity 4)
Si 0.155 0.074 0.750 (multiplicity 8)
N 0.082 0.245 0.000 (multiplicity 8)
N 0.250 0.250 0.500 (multiplicity 4)

Entry 3:
A plane-wave DFT calculation with PBE was carried out for an optimized crystal structure of GdMgZn.

Output
- theoretical density (g/cm³) = 6.0
- energy (eV for the cell shown) = -31.87

abc: 6.223 6.399 7.829
angles: 83.28 88.04 62.64
Space group P1 (No. 1)
Unique sites:
Gd 0.000 0.000 0.000 (multiplicity 1)
Gd 0.085 0.447 0.061 (multiplicity 1)
Gd 0.506 0.776 0.711 (multiplicity 1)
Gd 0.742 0.096 0.402 (multiplicity 1)
Mg 0.023 0.309 0.647 (multiplicity 1)
Mg 0.262 0.612 0.388 (multiplicity 1)
Mg 0.500 0.281 0.763 (multiplicity 1)
Mg 0.539 0.921 0.089 (multiplicity 1)
Zn 0.018 0.750 0.706 (multiplicity 1)
Zn 0.250 0.068 0.367 (multiplicity 1)
Zn 0.560 0.471 0.077 (multiplicity 1)
Zn 0.746 0.603 0.372 (multiplicity 1)